(1)
Computed, not measured: a relaxed structure of SrAc2La at the PBE-GGA level of DFT.

Calculated values
Magnetization: 0.000 μB per atom
Calculated volume: 44.721 Å³/atom
Relative energy among the computed polymorphs: 7 meV per atom

a b c (Å): 3.9800 3.9800 39.1197
angles (deg): 90.00 90.00 120.00
Space group R3m (No. 160, hexagonal axes)
Asymmetric unit:
Sr (0.0000, 0.0000, 0.0000)
Ac (0.0000, 0.0000, 0.4211)
Ac (0.0000, 0.0000, 0.5783)
La (0.0000, 0.0000, 0.8330)

(2)
Computed, not measured: a relaxed structure of K2Tc2Cl at the PBE-GGA level of DFT.

Calculated values
Magnetization: 0.000 μB per atom
Uncorrected formation energy: -130 meV/atom
Calculated volume: 25.167 Å³/atom
Relative energy among the computed polymorphs: 0 meV per atom

a b c (Å): 3.502 3.502 20.526
angles (deg): 90.00 90.00 90.00
Space group I4/mmm (No. 139)
Asymmetric unit:
K (0.000, 0.000, 0.095)
Tc (0.000, 0.500, 0.250)
Cl (0.000, 0.000, 0.500)

(3)
Computed, not measured: a relaxed structure of Na4LiCl5 at the PBE-GGA level of DFT.

Calculated values
Magnetization: 0.000 μB per atom
Uncorrected formation energy: -1790 meV/atom
Calculated volume: 21.959 Å³/atom
Relative energy among the computed polymorphs: 3 meV per atom

a b c (Å): 3.972 3.972 27.844
angles (deg): 90.00 90.00 90.00
Space group I4/mmm (No. 139)
Asymmetric unit:
Na (0.000, 0.000, 0.097)
Na (0.000, 0.000, 0.302)
Li (0.000, 0.000, 0.500)
Cl (0.000, 0.000, 0.000)
Cl (0.000, 0.000, 0.199)
Cl (0.000, 0.000, 0.406)

(4)
Computed, not measured: a relaxed structure of ThMgInRu at the PBE-GGA level of DFT.

Calculated values
Magnetization: 0.000 μB per atom
Uncorrected energy: -5.327 eV per atom
Calculated volume: 22.307 Å³/atom

a b c (Å): 7.093 7.093 7.093
angles (deg): 90.00 90.00 90.00
Space group F-43m (No. 216)
Asymmetric unit:
Th (0.000, 0.000, 0.000)
Mg (0.000, 0.000, 0.500)
In (0.250, 0.250, 0.250)
Ru (0.250, 0.250, 0.750)

(5)
Computed, not measured: a relaxed structure of Sr3NdTh2Bi6 at the PBE-GGA level of DFT.

Calculated values
Magnetization: 0.000 μB per atom
Uncorrected energy: -4.790 eV per atom
Calculated volume: 37.410 Å³/atom

a b c (Å): 8.141 14.103 8.278
angles (deg): 90.00 109.14 90.00
Space group C2/m (No. 12)
Asymmetric unit:
Sr (0.000, 0.000, 0.000)
Sr (0.000, 0.334, 0.000)
Nd (0.000, 0.500, 0.500)
Th (0.000, 0.167, 0.500)
Bi (0.242, 0.000, 0.733)
Bi (0.245, 0.332, 0.733)

(6)
Computed, not measured: a relaxed structure of Sr6As3N at the PBE-GGA level of DFT.

Calculated values
Magnetization: 0.000 μB per atom
Uncorrected formation energy: -972 meV/atom
Calculated volume: 31.219 Å³/atom

a b c (Å): 7.407 7.899 12.988
angles (deg): 90.00 124.75 90.00
Space group P2_1/c (No. 14)
Asymmetric unit:
Sr (0.111, 0.055, 0.232)
Sr (0.238, 0.709, 0.067)
Sr (0.349, 0.175, 0.058)
As (0.275, 0.073, 0.752)
As (0.500, 0.000, 0.500)
N (0.000, 0.000, 0.000)

(7)
Computed, not measured: a relaxed structure of Sb3C4 at the PBE-GGA level of DFT.

Calculated values
Magnetization: 0.000 μB per atom
Uncorrected formation energy: 1648 meV/atom
Calculated volume: 15.847 Å³/atom
Relative energy among the computed polymorphs: 0 meV per atom

a b c (Å): 3.456 3.456 18.572
angles (deg): 90.00 90.00 90.00
Space group I4/mmm (No. 139)
Asymmetric unit:
Sb (0.000, 0.000, 0.000)
Sb (0.000, 0.000, 0.316)
C (0.000, 0.000, 0.194)
C (0.000, 0.000, 0.464)

(8)
Computed, not measured: a relaxed structure of LuPuPd2 at the PBE-GGA level of DFT.

Calculated values
Magnetization: 1.357 μB per atom
Calculated volume: 23.579 Å³/atom
Relative energy among the computed polymorphs: 182 meV per atom

a b c (Å): 4.1314 4.1314 19.1412
angles (deg): 90.00 90.00 120.00
Space group R-3m (No. 166, hexagonal axes)
Asymmetric unit:
Lu (0.0000, 0.0000, 0.0000)
Pu (0.0000, 0.0000, 0.5000)
Pd (0.0000, 0.0000, 0.2539)

(9)
Computed, not measured: a relaxed structure of TbThI2 at the PBE-GGA level of DFT.

Calculated values
Magnetization: 0.013 μB per atom
Uncorrected formation energy: -543 meV/atom
Calculated volume: 33.708 Å³/atom

a b c (Å): 3.7682 3.7682 32.8943
angles (deg): 90.00 90.00 120.00
Space group R-3m (No. 166, hexagonal axes)
Asymmetric unit:
Tb (0.0000, 0.0000, 0.0000)
Th (0.0000, 0.0000, 0.5000)
I (0.0000, 0.0000, 0.4013)

(10)
Computed, not measured: a relaxed structure of TaSi2Mo at the PBE-GGA level of DFT.

Calculated values
Magnetization: 0.000 μB per atom
Uncorrected formation energy: 59 meV/atom
Calculated volume: 15.120 Å³/atom
Relative energy among the computed polymorphs: 447 meV per atom

a b c (Å): 6.231 6.231 6.231
angles (deg): 90.00 90.00 90.00
Space group F-43m (No. 216)
Asymmetric unit:
Ta (0.000, 0.000, 0.000)
Si (0.000, 0.000, 0.500)
Si (0.250, 0.250, 0.750)
Mo (0.250, 0.250, 0.250)

(11)
Computed, not measured: a relaxed structure of ZrZnRu2 at the PBE-GGA level of DFT.

Calculated values
Magnetization: 0.049 μB per atom
Uncorrected energy: -7.173 eV per atom
Calculated volume: 16.010 Å³/atom

a b c (Å): 2.854 2.854 7.860
angles (deg): 90.00 90.00 90.00
Space group P4mm (No. 99)
Asymmetric unit:
Zr (0.000, 0.000, 0.000)
Zn (0.500, 0.500, 0.721)
Ru (0.000, 0.000, 0.488)
Ru (0.500, 0.500, 0.280)

(12)
Computed, not measured: a relaxed structure of TlCd6Sn4 at the PBE-GGA level of DFT.

Calculated values
Magnetization: 0.000 μB per atom
Uncorrected energy: -2.057 eV per atom
Calculated volume: 27.948 Å³/atom

a b c (Å): 7.121 7.121 12.124
angles (deg): 90.00 90.00 90.00
Space group I-42m (No. 121)
Asymmetric unit:
Tl (0.000, 0.000, 0.000)
Cd (0.000, 0.500, 0.000)
Cd (0.162, 0.162, 0.620)
Sn (0.249, 0.249, 0.349)

(13)
Computed, not measured: a relaxed structure of Cd2POs at the PBE-GGA level of DFT.

Calculated values
Magnetization: 0.000 μB per atom
Calculated volume: 17.366 Å³/atom
Relative energy among the computed polymorphs: 580 meV per atom

a b c (Å): 5.635 8.707 2.831
angles (deg): 90.00 90.00 90.00
Space group Cmmm (No. 65)
Asymmetric unit:
Cd (0.250, 0.250, 0.000)
P (0.000, 0.000, 0.500)
Os (0.000, 0.500, 0.500)

(14)
Computed, not measured: a relaxed structure of BaBeRe2 at the PBE-GGA level of DFT.

Calculated values
Magnetization: 0.000 μB per atom
Uncorrected energy: -6.378 eV per atom
Calculated volume: 21.998 Å³/atom

a b c (Å): 3.195 5.733 9.609
angles (deg): 90.00 90.00 90.00
Space group Imm2 (No. 44)
Asymmetric unit:
Ba (0.000, 0.000, 0.000)
Be (0.000, 0.500, 0.801)
Re (0.000, 0.000, 0.499)
Re (0.000, 0.500, 0.185)

(15)
Computed, not measured: a relaxed structure of CrH2Au at the PBE-GGA level of DFT.

Calculated values
Magnetization: 0.732 μB per atom
Calculated volume: 10.096 Å³/atom
Relative energy among the computed polymorphs: 182 meV per atom

a b c (Å): 4.192 4.192 9.191
angles (deg): 90.00 90.00 90.00
Space group I-42d (No. 122)
Asymmetric unit:
Cr (0.000, 0.000, 0.000)
H (0.178, 0.250, 0.125)
Au (0.000, 0.000, 0.500)